1.
VASP calculation (PBE) on crystalline GaAgSe3 at its relaxed geometry.

Cell and atoms, written as CIF:
```
data_GaAgSe3
_chemical_formula_sum 'Ga8 Ag8 Se24'
_cell_length_a 10.934
_cell_length_b 12.696
_cell_length_c 6.988
_cell_angle_alpha 90.00
_cell_angle_beta 101.33
_cell_angle_gamma 90.00
_symmetry_space_group_name_H-M 'C 1 2/c 1'
_symmetry_Int_Tables_number 15
loop_
_symmetry_equiv_pos_as_xyz
'x,y,z'
'-x,-y,-z'
'-x,y,-z+1/2'
'x,-y,z+1/2'
'x+1/2,y+1/2,z'
'-x+1/2,-y+1/2,-z'
'-x+1/2,y+1/2,-z+1/2'
'x+1/2,-y+1/2,z+1/2'
loop_
_atom_site_label
_atom_site_type_symbol
_atom_site_fract_x
_atom_site_fract_y
_atom_site_fract_z
Ga1 Ga 0.000 0.001 0.250
Ga2 Ga 0.000 0.331 0.750
Ag1 Ag 0.141 0.350 0.299
Se1 Se 0.108 0.211 0.557
Se2 Se 0.118 0.111 0.033
Se3 Se 0.144 0.447 0.970
```

Summary:
**Energy relative to the lowest polymorph listed for this composition**: 0.000 eV/atom
**Crystal system**: monoclinic
**ΔE_f (raw)**: -0.24 eV/atom

=====

2.
VASP calculation (PBE) on crystalline NaNdAg2Cl6 at its relaxed geometry.

Cell and atoms, written as CIF:
```
data_NaNdAg2Cl6
_chemical_formula_sum 'Na1 Nd1 Ag2 Cl6'
_cell_length_a 6.992
_cell_length_b 7.089
_cell_length_c 7.613
_cell_angle_alpha 90.31
_cell_angle_beta 116.58
_cell_angle_gamma 119.51
_symmetry_space_group_name_H-M 'P 1'
_symmetry_Int_Tables_number 1
loop_
_symmetry_equiv_pos_as_xyz
'x,y,z'
loop_
_atom_site_label
_atom_site_type_symbol
_atom_site_fract_x
_atom_site_fract_y
_atom_site_fract_z
Na1 Na 0.000 0.000 0.000
Nd1 Nd 0.988 0.495 0.481
Ag1 Ag 0.474 0.235 0.705
Ag2 Ag 0.568 0.796 0.369
Cl1 Cl 0.128 0.245 0.727
Cl2 Cl 0.142 0.399 0.240
Cl3 Cl 0.491 0.884 0.703
Cl4 Cl 0.508 0.114 0.236
Cl5 Cl 0.846 0.751 0.254
Cl6 Cl 0.853 0.604 0.738
```

Summary:
**Crystal system**: triclinic
**ΔE_f (raw)**: -1.43 eV/atom

=====

3.
VASP calculation (PBE) on crystalline ZrBeW3 at its relaxed geometry.

Cell and atoms, written as CIF:
```
data_ZrBeW3
_chemical_formula_sum 'Zr1 Be1 W3'
_cell_length_a 4.786
_cell_length_b 4.786
_cell_length_c 4.786
_cell_angle_alpha 90.00
_cell_angle_beta 90.00
_cell_angle_gamma 90.00
_symmetry_space_group_name_H-M 'P m -3 m'
_symmetry_Int_Tables_number 221
_symmetry_space_group_name_Hall '-P 4 2 3'
loop_
_atom_site_label
_atom_site_type_symbol
_atom_site_fract_x
_atom_site_fract_y
_atom_site_fract_z
Zr1 Zr 0.000 0.000 0.000
Be1 Be 0.500 0.500 0.500
W1 W 0.000 0.000 0.500
```

Summary:
**Energy relative to the lowest polymorph listed for this composition**: 2.213 eV/atom
**Crystal system**: cubic
**ΔE_f**: 2.871 eV/atom

=====

4.
VASP calculation (PBE) on crystalline Cu8GePd2 at its relaxed geometry.

Cell and atoms, written as CIF:
```
data_Cu8GePd2
_chemical_formula_sum 'Cu16 Ge2 Pd4'
_cell_length_a 11.319
_cell_length_b 6.440
_cell_length_c 4.463
_cell_angle_alpha 90.00
_cell_angle_beta 103.66
_cell_angle_gamma 90.00
_symmetry_space_group_name_H-M 'C 1 2/m 1'
_symmetry_Int_Tables_number 12
loop_
_symmetry_equiv_pos_as_xyz
'x,y,z'
'-x,-y,-z'
'-x,y,-z'
'x,-y,z'
'x+1/2,y+1/2,z'
'-x+1/2,-y+1/2,-z'
'-x+1/2,y+1/2,-z'
'x+1/2,-y+1/2,z'
loop_
_atom_site_label
_atom_site_type_symbol
_atom_site_fract_x
_atom_site_fract_y
_atom_site_fract_z
Cu1 Cu 0.065 0.186 0.293
Cu2 Cu 0.138 0.000 0.844
Cu3 Cu 0.239 0.500 0.585
Ge1 Ge 0.000 0.500 0.500
Pd1 Pd 0.128 0.500 0.019
```

Summary:
**Crystal system**: monoclinic
**ΔE_f**: 0.124 eV/atom

=====

no.,raw total energy (eV/atom),Fermi-level density of states (states/eV/cell)
1,-3.502,0.42
2,-3.721,0.00
3,-7.356,4.13
4,-4.219,8.95